Record 1
VASP calculation (PBE-GGA) on an optimized crystal structure of GaReTc2. Values from VASP.

Cell and atoms, written as Quantum ESPRESSO input:
```
&SYSTEM
  ibrav = 0, nat = 4, ntyp = 3
/
ATOMIC_SPECIES
Ga 69.72 Ga.upf
Tc 98.00 Tc.upf
Re 186.21 Re.upf
CELL_PARAMETERS angstrom
3.184 0.588 2.918
-0.963 1.322 4.040
0.420 -2.754 3.353
ATOMIC_POSITIONS crystal
Ga 0.000 0.000 0.000
Tc 0.250 0.250 0.250
Re 0.500 0.500 0.500
Tc 0.750 0.750 0.750
```

Energy relative to the elements   0.00 eV per atom
Total magnetization   0.00 μB per formula unit
Volume   14.6 Å³/atom
VASP energy   -9.050 eV per atom

***

Record 2
VASP calculation (PBE-GGA) on an optimized crystal structure of NdSm8Dy6. Values from VASP.

Cell and atoms, written as Quantum ESPRESSO input:
```
&SYSTEM
  ibrav = 0, nat = 15, ntyp = 3
/
ATOMIC_SPECIES
Sm 150.36 Sm.upf
Dy 162.50 Dy.upf
Nd 144.24 Nd.upf
CELL_PARAMETERS angstrom
-3.804 -5.117 -6.515
4.918 -6.420 -4.207
-1.586 -8.480 1.210
ATOMIC_POSITIONS crystal
Sm 0.112 0.748 0.422
Sm 0.718 0.112 0.422
Dy 0.537 0.100 0.119
Dy 0.100 0.244 0.119
Sm 0.748 0.718 0.422
Nd 0.000 0.000 0.000
Dy 0.244 0.537 0.119
Sm 0.577 0.577 0.268
Sm 0.888 0.252 0.578
Dy 0.900 0.756 0.881
Sm 0.252 0.282 0.578
Sm 0.282 0.888 0.578
Dy 0.756 0.463 0.881
Dy 0.463 0.900 0.881
Sm 0.423 0.423 0.732
```

Energy relative to the elements   0.13 eV per atom
Total magnetization   0.00 μB per formula unit
Volume   33.3 Å³/atom
VASP energy   -4.548 eV per atom

***

Record 3
VASP calculation (PBE-GGA) on an optimized crystal structure of TlTePt4. Values from VASP.

Cell and atoms, written as Quantum ESPRESSO input:
```
&SYSTEM
  ibrav = 0, nat = 6, ntyp = 3
/
ATOMIC_SPECIES
Te 127.60 Te.upf
Pt 195.08 Pt.upf
Tl 204.38 Tl.upf
CELL_PARAMETERS angstrom
4.233 1.193 3.224
0.648 5.077 1.882
-0.814 1.074 5.284
ATOMIC_POSITIONS crystal
Te 0.750 0.750 0.750
Pt 0.375 0.375 0.874
Tl 0.000 0.000 0.000
Pt 0.375 0.375 0.375
Pt 0.874 0.375 0.375
Pt 0.375 0.874 0.375
```

Total magnetization   0.00 μB per formula unit
Uncorrected formation energy   0.12 eV/atom
Volume   19.1 Å³/atom
VASP energy   -4.823 eV per atom

***

- What is the VASP energy in the third record?
  -4.823 eV per atom